A plane-wave DFT calculation with GGA-PBE was carried out for a relaxed CaCdSe2 crystal.

Formation energy without anion corrections = -1183 meV per atom
Raw total energy = -3.655 eV/atom
Volume = 262 Å³/cell
Magnetization = 0.00 μB per atom
Space-group type = No. 122
Theoretical density = 3.94 Mg/m³

extended XYZ file:
```
8
Lattice="-3.2323 3.2323 6.2586 3.2323 -3.2323 6.2586 3.2323 3.2323 -6.2586" Properties=species:S:1:pos:R:3 pbc="T T T"
Ca 0.0000 0.0000 0.0000
Ca 0.0000 3.2323 3.1293
Cd 3.2323 0.0000 3.1293
Cd 0.0000 0.0000 6.2586
Se 1.6162 -1.4853 4.6939
Se 1.7471 1.6162 1.5646
Se 1.6162 4.7176 -1.5646
Se 1.4853 1.6162 7.8232
```



A plane-wave DFT calculation with GGA-PBE was carried out for a relaxed Mg2TlPb crystal.

Raw total energy = -2.328 eV/atom
Volume = 104 Å³/cell
Magnetization = 0.00 μB per atom
Space-group type = No. 44
Theoretical density = 7.32 Mg/m³
Formation enthalpy at 0 K = -12 meV/atom

extended XYZ file:
```
4
Lattice="-1.8228 2.5684 5.5774 1.8228 -2.5684 5.5774 1.8228 2.5684 -5.5774" Properties=species:S:1:pos:R:3 pbc="T T T"
Mg 0.0000 0.0000 0.0000
Mg 0.0000 2.5684 2.8879
Tl 1.8228 0.0000 2.7383
Pb 0.0000 0.0000 5.6735
```



A plane-wave DFT calculation with GGA-PBE was carried out for a relaxed NdEr4Ru2 crystal.

Raw total energy = -6.207 eV/atom
Volume = 359 Å³/cell
Magnetization = 0.00 μB per atom
Space-group type = No. 11
Theoretical density = 9.38 Mg/m³
Formation enthalpy at 0 K = -268 meV/atom

extended XYZ file:
```
14
Lattice="7.6841 0.0000 0.0000 0.0000 6.3638 0.0000 -3.0719 0.0000 7.3514" Properties=species:S:1:pos:R:3 pbc="T T T"
Nd -0.3577 1.5910 1.2045
Nd 4.9700 4.7729 6.1469
Er 0.0877 3.1855 4.2934
Er 0.0877 6.3603 4.2934
Er 1.7227 4.7729 1.8735
Er 2.8805 1.5910 0.1403
Er 1.7317 4.7729 7.2110
Er 2.8895 1.5910 5.4778
Er 4.5245 0.0036 3.0580
Er 4.5245 3.1783 3.0580
Ru -2.0710 1.5910 5.3959
Ru 2.0535 1.5910 2.7425
Ru 2.5588 4.7729 4.6088
Ru 6.6832 4.7729 1.9555
```



A plane-wave DFT calculation with GGA-PBE was carried out for a relaxed TaMn7 crystal.

Raw total energy = -9.339 eV/atom
Volume = 101 Å³/cell
Magnetization = 1.04 μB per atom
Space-group type = No. 225
Theoretical density = 9.32 Mg/m³
Formation enthalpy at 0 K = 166 meV/atom

extended XYZ file:
```
8
Lattice="0.0000 3.6939 3.6939 3.6939 0.0000 3.6939 3.6939 3.6939 0.0000" Properties=species:S:1:pos:R:3 pbc="T T T"
Ta 0.0000 0.0000 0.0000
Mn 1.8469 1.8469 0.0000
Mn 1.8469 0.0000 1.8469
Mn 3.6939 1.8469 1.8469
Mn 0.0000 1.8469 1.8469
Mn 1.8469 3.6939 1.8469
Mn 1.8469 1.8469 3.6939
Mn 3.6939 3.6939 3.6939
```



A plane-wave DFT calculation with GGA-PBE was carried out for a relaxed La3SmBi4 crystal.

Raw total energy = -5.400 eV/atom
Volume = 288 Å³/cell
Magnetization = 0.00 μB per atom
Space-group type = No. 65
Theoretical density = 8.09 Mg/m³
Formation enthalpy at 0 K = -1022 meV/atom

extended XYZ file:
```
8
Lattice="4.6673 -6.6007 0.0000 4.6673 6.6007 0.0000 0.0000 0.0000 4.6734" Properties=species:S:1:pos:R:3 pbc="T T T"
La 0.0000 0.0000 0.0000
La 2.3337 3.3004 2.3367
La 2.3337 -3.3004 2.3367
Sm 4.6673 0.0000 0.0000
Bi 4.6673 3.2675 0.0000
Bi 2.3791 0.0000 2.3367
Bi 6.9556 0.0000 2.3367
Bi 4.6673 -3.2675 0.0000
```



A plane-wave DFT calculation with GGA-PBE was carried out for a relaxed HfTa2Se6 crystal.

Formation energy without anion corrections = -962 meV per atom
Raw total energy = -7.025 eV/atom
Volume = 225 Å³/cell
Magnetization = 0.00 μB per atom
Space-group type = No. 12
Theoretical density = 7.49 Mg/m³

extended XYZ file:
```
9
Lattice="7.3895 -1.7873 0.0000 7.3895 1.7873 0.0000 -3.5598 0.0000 8.5093" Properties=species:S:1:pos:R:3 pbc="T T T"
Hf 0.0000 0.0000 0.0000
Ta 2.5156 0.0000 5.5997
Ta 8.7035 0.0000 2.9095
Se -0.5896 0.0000 2.6132
Se 3.2169 0.0000 3.0964
Se 1.8911 0.0000 8.1737
Se 9.3280 0.0000 0.3355
Se 8.0022 0.0000 5.4129
Se 11.8088 0.0000 5.8961
```



A plane-wave DFT calculation with GGA-PBE was carried out for a relaxed Ce2MnFeGe6 crystal.

Raw total energy = -6.076 eV/atom
Volume = 382 Å³/cell
Magnetization = 0.41 μB per atom
Space-group type = No. 59
Theoretical density = 7.19 Mg/m³
Formation enthalpy at 0 K = -355 meV/atom

extended XYZ file:
```
20
Lattice="6.3700 0.0000 0.0000 0.0000 8.6930 0.0000 0.0000 0.0000 6.9007" Properties=species:S:1:pos:R:3 pbc="T T T"
Ce 1.5925 0.0338 1.7029
Ce 1.5925 4.3127 1.7029
Ce 4.7775 4.3803 5.1977
Ce 4.7775 8.6592 5.1977
Mn 1.5925 6.5197 6.1159
Mn 4.7775 2.1732 0.7848
Fe 1.5925 2.1732 4.2289
Fe 4.7775 6.5197 2.6718
Ge 0.3321 2.1732 6.3953
Ge 0.3391 6.5197 3.8946
Ge 1.5925 0.0061 5.1464
Ge 1.5925 4.3404 5.1464
Ge 2.8459 6.5197 3.8946
Ge 2.8529 2.1732 6.3953
Ge 3.5171 6.5197 0.5054
Ge 3.5241 2.1732 3.0060
Ge 4.7775 4.3526 1.7543
Ge 4.7775 8.6869 1.7543
Ge 6.0309 2.1732 3.0060
Ge 6.0379 6.5197 0.5054
```



A plane-wave DFT calculation with GGA-PBE was carried out for a relaxed CaZr2Pb crystal.

Raw total energy = -5.677 eV/atom
Volume = 104 Å³/cell
Magnetization = 0.00 μB per atom
Space-group type = No. 12
Theoretical density = 6.87 Mg/m³
Formation enthalpy at 0 K = 25 meV/atom

extended XYZ file:
```
4
Lattice="5.8624 -1.6504 0.0000 5.8624 1.6504 0.0000 -1.2586 0.0000 5.3701" Properties=species:S:1:pos:R:3 pbc="T T T"
Ca 0.0000 0.0000 0.0000
Zr 1.7599 0.0000 3.9175
Zr 8.7063 0.0000 1.4526
Pb 5.2331 0.0000 2.6850
```